Entry from Alexandria: crystalline Ac6Co2RuI3 at its relaxed geometry (PBE).

Properties
Energy relative to the elements, uncorrected   -63 kJ/mol of atoms
Total moment   0.00 μB/cell
Final energy   -5.0481 eV/atom

Cell: 7.423 7.423 9.004 Å, 97.90 97.90 120.00°
Fractional positions:
Ac (0.104, 0.439, 0.817)
Ac (0.225, 0.225, 0.183)
Ac (0.439, 0.104, 0.817)
Ac (0.561, 0.896, 0.183)
Ac (0.775, 0.775, 0.817)
Ac (0.896, 0.561, 0.183)
Co (0.167, 0.833, 0.000)
Co (0.833, 0.167, 0.000)
Ru (0.500, 0.500, 0.000)
I (0.000, 0.000, 0.500)
I (0.334, 0.666, 0.500)
I (0.666, 0.334, 0.500)